Record 1
VASP calculation (PBE-GGA) on an optimized crystal structure of SrGaSi2.

Output
E_tot   -3.9392 eV per atom
Crystal system   orthorhombic
Energy relative to the elements, uncorrected   -0.051 eV per atom
Fermi-level density of states   3.812 states/eV/cell

abc: 4.302 5.830 8.101
angles: 90.00 90.00 90.00
Space group Amm2 (No. 38)
Unique sites:
Sr 0.000 0.000 0.000 (multiplicity 2)
Ga 0.500 0.000 0.570 (multiplicity 2)
Si 0.500 0.197 0.283 (multiplicity 4)

***

Record 2
VASP calculation (PBE-GGA) on an optimized crystal structure of Hf2TiBiH.

Output
E_tot   -7.1618 eV per atom
Crystal system   tetragonal
Fermi-level density of states   4.689 states/eV/cell

abc: 4.386 4.386 4.445
angles: 90.00 90.00 90.00
Space group P4/mmm (No. 123)
Unique sites:
Hf 0.000 0.500 0.000 (multiplicity 2)
Ti 0.000 0.000 0.500 (multiplicity 1)
Bi 0.500 0.500 0.500 (multiplicity 1)
H 0.000 0.000 0.000 (multiplicity 1)

***

Record 3
VASP calculation (PBE-GGA) on an optimized crystal structure of LaRu3.

Output
E_tot   -8.0769 eV per atom
Crystal system   orthorhombic
Formation energy from the elements   0.112 eV per atom
Fermi-level density of states   7.709 states/eV/cell

abc: 4.252 5.339 6.739
angles: 90.00 90.00 90.00
Space group Pmmn (No. 59, origin choice 2)
Unique sites:
La 0.250 0.250 0.099 (multiplicity 2)
Ru 0.250 0.509 0.599 (multiplicity 4)
Ru 0.250 0.750 0.260 (multiplicity 2)

***

Record 4
VASP calculation (PBE-GGA) on an optimized crystal structure of TcHI2.

Output
E_tot   -3.4345 eV per atom
Distance to the lowest polymorph of the same formula   0.0 meV per atom
Crystal system   tetragonal
Fermi-level density of states   5.975 states/eV/cell

abc: 5.853 5.853 10.887
angles: 90.00 90.00 90.00
Space group I-42d (No. 122)
Unique sites:
Tc 0.000 0.000 0.000 (multiplicity 4)
H 0.000 0.000 0.500 (multiplicity 4)
I 0.220 0.250 0.625 (multiplicity 8)